Entry from Alexandria: a geometry-optimized CeGdOs structure (PBE-GGA).

Total magnetization   7.93 μB per formula unit
Energy of formation from the pure elements   -116.9 meV/atom

abc: 3.3878 3.3878 13.5342
angles: 90.00 90.00 90.00
With the nearest neighbours (Å) after each atom.
Space group I4mm (No. 107)
One atom of each set of equivalent atoms:
1 Ce 0.0000 0.0000 0.0000 (multiplicity 2)  4 Os 2.93
2 Gd 0.0000 0.0000 0.2544 (multiplicity 2)  4 Os 2.97
3 Os 0.0000 0.0000 0.6241 (multiplicity 2)  4 Ce 2.93, 4 Gd 2.97

***

Entry from Alexandria: a geometry-optimized Al2Fe2B structure (PBE-GGA).

Total magnetization   4.75 μB per formula unit
Energy of formation from the pure elements   351.9 meV/atom

abc: 5.6562 5.6562 3.9165
angles: 90.00 90.00 90.00
With the nearest neighbours (Å) after each atom.
Space group P4/mbm (No. 127)
One atom of each set of equivalent atoms:
1 Al 0.1568 0.3432 0.0000 (multiplicity 4)  2 B 2.13
2 Fe 0.1503 0.6503 0.5000 (multiplicity 4)  1 Fe 2.40, 6 Al 2.49-2.62
3 B 0.0000 0.0000 0.0000 (multiplicity 2)  4 Al 2.13

***

Entry from Alexandria: a geometry-optimized DyErIr4 structure (PBE-GGA).

Total magnetization   0.00 μB per formula unit
Energy of formation from the pure elements   -819.1 meV/atom

abc: 7.5654 7.5654 7.5654
angles: 90.00 90.00 90.00
With the nearest neighbours (Å) after each atom.
Space group F-43m (No. 216)
One atom of each set of equivalent atoms:
1 Dy 0.0000 0.0000 0.0000 (multiplicity 4)  12 Ir 3.14, 4 Er 3.28
2 Er 0.2500 0.2500 0.7500 (multiplicity 4)  12 Ir 3.14, 4 Dy 3.28
3 Ir 0.1250 0.1250 0.3750 (multiplicity 16)  6 Ir 2.67-2.68